[1]
Computed, not measured: an optimized crystal structure of Ba2Li3Zn4 at the PBE level of DFT.

Summary:
As for the crystal system: orthorhombic. As for the total DFT energy (no corrections): -1.7095 eV/atom.

abc: 9.253 7.905 6.172
angles: 81.18 57.59 41.24
Sites, in units of the cell vectors:
1 Ba 0.153 0.153 0.847
2 Ba 0.847 0.847 0.153
3 Li 0.000 0.000 0.500
4 Li 0.500 0.500 0.000
5 Li 0.500 0.500 0.500
6 Zn 0.142 0.536 0.464
7 Zn 0.464 0.858 0.142
8 Zn 0.536 0.142 0.858
9 Zn 0.858 0.464 0.536

***

[2]
Computed, not measured: an optimized crystal structure of BaLiZn2 at the PBE level of DFT.

Summary:
As for the crystal system: tetragonal. As for the total DFT energy (no corrections): -1.5223 eV/atom.

abc: 5.403 5.403 3.807
angles: 90.00 90.00 90.00
Sites, in units of the cell vectors:
1 Ba 0.000 0.000 0.000
2 Li 0.500 0.500 0.000
3 Zn 0.000 0.500 0.500
4 Zn 0.500 0.000 0.500

***

no.,volume (Å³/cell)
1,224
2,111